MgCu2O4 | GGA-PBEsol | relaxed

Cell lengths 5.8149, 5.8149, 5.8149 Å; angles 120.15, 119.75, 90.09 degrees
Fractional coordinates of all 14 atoms:
1 Mg 0.5000 0.0000 0.0000
2 Mg 0.5000 0.5000 0.5000
3 Cu 0.0000 0.0000 0.0000
4 Cu 0.1132 0.3632 0.7500
5 Cu 0.5000 0.0000 0.5000
6 Cu 0.8868 0.6368 0.2500
7 O 0.2410 0.2290 0.0119
8 O 0.2491 0.2341 0.4849
9 O 0.2491 0.7642 0.0151
10 O 0.2829 0.7710 0.5119
11 O 0.7171 0.2290 0.4881
12 O 0.7509 0.2358 0.9849
13 O 0.7509 0.7659 0.5151
14 O 0.7590 0.7710 0.9881

The excess energy over the best structure of this formula in the dataset is 0.1146 eV/atom. The formation energy without anion corrections is -1.0184 eV/atom. Its symmetry is Imma, No. 74.

TeAs2Pt | GGA-PBEsol | relaxed

Cell lengths 4.8435, 3.7009, 4.9432 Å; angles 90.00, 113.58, 90.00 degrees
Fractional coordinates of all 4 atoms:
1 Te 0.0000 0.0000 0.0000
2 As 0.2724 0.5000 0.6959
3 As 0.7276 0.5000 0.3041
4 Pt 0.5000 0.0000 0.5000

The formation energy without anion corrections is -0.1743 eV/atom. Its symmetry is P2/m, No. 10.

Li2MnCu3O8 | GGA-PBEsol | relaxed

Cell lengths 8.1641, 8.1641, 8.1641 Å; angles 90.00, 90.00, 90.00 degrees
Fractional coordinates of all 56 atoms:
1 Li 0.0029 0.4971 0.5029
2 Li 0.2471 0.7471 0.7529
3 Li 0.2529 0.2529 0.2529
4 Li 0.4971 0.5029 0.0029
5 Li 0.5029 0.0029 0.4971
6 Li 0.7471 0.7529 0.2471
7 Li 0.7529 0.2471 0.7471
8 Li 0.9971 0.9971 0.9971
9 Mn 0.1250 0.8750 0.3750
10 Mn 0.3750 0.1250 0.8750
11 Mn 0.6250 0.6250 0.6250
12 Mn 0.8750 0.3750 0.1250
13 Cu 0.1207 0.6250 0.1293
14 Cu 0.1250 0.3707 0.8793
15 Cu 0.1293 0.1207 0.6250
16 Cu 0.3707 0.8793 0.1250
17 Cu 0.3750 0.6293 0.3793
18 Cu 0.3793 0.3750 0.6293
19 Cu 0.6207 0.8750 0.8707
20 Cu 0.6250 0.1293 0.1207
21 Cu 0.6293 0.3793 0.3750
22 Cu 0.8707 0.6207 0.8750
23 Cu 0.8750 0.8707 0.6207
24 Cu 0.8793 0.1250 0.3707
25 O 0.1056 0.3829 0.1189
26 O 0.1090 0.6090 0.8910
27 O 0.1171 0.8811 0.6056
28 O 0.1189 0.1056 0.3829
29 O 0.1311 0.8671 0.1444
30 O 0.1329 0.6444 0.3689
31 O 0.1410 0.3590 0.6410
32 O 0.1444 0.1311 0.8671
33 O 0.3556 0.8689 0.3671
34 O 0.3590 0.6410 0.1410
35 O 0.3671 0.3556 0.8689
36 O 0.3689 0.1329 0.6444
37 O 0.3811 0.8944 0.8829
38 O 0.3829 0.1189 0.1056
39 O 0.3910 0.3910 0.3910
40 O 0.3944 0.6171 0.6189
41 O 0.6056 0.1171 0.8811
42 O 0.6090 0.8910 0.1090
43 O 0.6171 0.6189 0.3944
44 O 0.6189 0.3944 0.6171
45 O 0.6311 0.6329 0.8556
46 O 0.6329 0.8556 0.6311
47 O 0.6410 0.1410 0.3590
48 O 0.6444 0.3689 0.1329
49 O 0.8556 0.6311 0.6329
50 O 0.8590 0.8590 0.8590
51 O 0.8671 0.1444 0.1311
52 O 0.8689 0.3671 0.3556
53 O 0.8811 0.6056 0.1171
54 O 0.8829 0.3811 0.8944
55 O 0.8910 0.1090 0.6090
56 O 0.8944 0.8829 0.3811

The formation energy without anion corrections is -1.0175 eV/atom. Its symmetry is P4_332, No. 212.

LiCuRu2 | GGA-PBEsol | relaxed

Cell lengths 2.5412, 2.5412, 8.8592 Å; angles 90.00, 90.00, 114.97 degrees
Fractional coordinates of all 4 atoms:
1 Li 0.0000 0.0000 0.0000
2 Cu 0.0000 0.0000 0.5000
3 Ru 0.5000 0.5000 0.2552
4 Ru 0.5000 0.5000 0.7448

The excess energy over the best structure of this formula in the dataset is 0.1662 eV/atom. Its formation energy is 0.355 eV per atom. Its symmetry is Cmmm, No. 65.

BaLiCd | GGA-PBEsol | relaxed

Cell lengths 5.1065, 5.1065, 4.2648 Å; angles 90.00, 90.00, 120.00 degrees
Fractional coordinates of all 3 atoms:
1 Ba 0.0000 0.0000 0.0000
2 Li 0.6667 0.3333 0.5000
3 Cd 0.3333 0.6667 0.5000

The excess energy over the best structure of this formula in the dataset is 0.0000 eV/atom. Its formation energy is -0.167 eV per atom. Its symmetry is P-6m2, No. 187.

MnSeIN2 | GGA-PBEsol | relaxed

Cell lengths 3.8229, 3.8229, 6.7315 Å; angles 90.00, 90.00, 90.00 degrees
Fractional coordinates of all 5 atoms:
1 Mn 0.0000 0.0000 0.0000
2 Se 0.5000 0.5000 0.5000
3 I 0.5000 0.5000 0.0000
4 N 0.0000 0.5000 0.5000
5 N 0.5000 0.0000 0.5000

The formation energy without anion corrections is 1.5518 eV/atom. Its symmetry is P4/mmm, No. 123.

GaNiHgGe2 | GGA-PBEsol | relaxed

Cell lengths 5.0250, 5.0250, 4.7880 Å; angles 90.00, 90.00, 90.00 degrees
Fractional coordinates of all 5 atoms:
1 Ga 0.0000 0.0000 0.0000
2 Ni 0.5000 0.5000 0.0000
3 Hg 0.5000 0.5000 0.5000
4 Ge 0.0000 0.5000 0.5000
5 Ge 0.5000 0.0000 0.5000

Its formation energy is 1.015 eV per atom. Its symmetry is P4/mmm, No. 123.

RbAlH4 | GGA-PBEsol | relaxed

Cell lengths 7.1765, 7.1765, 6.1066 Å; angles 90.00, 90.00, 149.74 degrees
Fractional coordinates of all 12 atoms:
1 Rb 0.1183 0.8817 0.5000
2 Rb 0.8817 0.1183 0.0000
3 Al 0.3823 0.6177 0.5254
4 Al 0.6177 0.3823 0.0254
5 H 0.1054 0.8946 0.0110
6 H 0.2996 0.7004 0.7168
7 H 0.3354 0.6646 0.2824
8 H 0.4871 0.5129 0.6596
9 H 0.5129 0.4871 0.1596
10 H 0.6646 0.3354 0.7824
11 H 0.7004 0.2996 0.2168
12 H 0.8946 0.1054 0.5110

Its symmetry is Cmc2_1, No. 36. As for the total DFT energy (no corrections): -3.18 eV per atom.

Li2ZnRu | GGA-PBEsol | relaxed

Cell lengths 5.1625, 5.1625, 2.5426 Å; angles 102.47, 102.47, 120.14 degrees
Fractional coordinates of all 4 atoms:
1 Li 0.0000 0.5000 0.0000
2 Li 0.5000 0.0000 0.0000
3 Zn 0.0000 0.0000 0.5000
4 Ru 0.5000 0.5000 0.5000

Its formation energy is 0.024 eV per atom. Its symmetry is C2/m, No. 12.

LiIn2Ag | GGA-PBEsol | relaxed

Cell lengths 5.0925, 5.0925, 3.1617 Å; angles 90.00, 90.00, 107.90 degrees
Fractional coordinates of all 4 atoms:
1 Li 0.0000 0.0000 0.0000
2 In 0.0000 0.5000 0.5000
3 In 0.5000 0.0000 0.5000
4 Ag 0.5000 0.5000 0.0000

Its formation energy is -0.154 eV per atom. Its symmetry is Cmmm, No. 65.

SrHf3Sc | GGA-PBEsol | relaxed

Cell lengths 5.1608, 5.1608, 5.1608 Å; angles 90.00, 90.00, 90.00 degrees
Fractional coordinates of all 5 atoms:
1 Sr 0.0000 0.0000 0.0000
2 Hf 0.0000 0.5000 0.5000
3 Hf 0.5000 0.0000 0.5000
4 Hf 0.5000 0.5000 0.0000
5 Sc 0.5000 0.5000 0.5000

Its formation energy is 1.095 eV per atom. Its symmetry is Pm-3m, No. 221.

Mg2ReRh | GGA-PBEsol | relaxed

Cell lengths 5.0236, 5.0236, 5.0236 Å; angles 135.36, 135.36, 64.98 degrees
Fractional coordinates of all 4 atoms:
1 Mg 0.2500 0.7500 0.5000
2 Mg 0.7500 0.2500 0.5000
3 Re 0.0000 0.0000 0.0000
4 Rh 0.5000 0.5000 0.0000

The excess energy over the best structure of this formula in the dataset is 0.2020 eV/atom. Its formation energy is 0.298 eV per atom. Its symmetry is I4/mmm, No. 139.